# 1
## Li2GeAu (PBE)

Data for an optimized crystal structure of Li2GeAu.

Properties
DFT total energy (eV per cell): -13.7

a = 4.4065 Å, b = 4.4065 Å, c = 4.4065 Å
α = 60.00°, β = 60.00°, γ = 60.00°
With the nearest neighbours (Å) after each atom.
Sites, in units of the cell vectors:
Au 0.2500 0.2500 0.2500  4 Ge 2.70, 4 Li 2.70
Ge 0.5000 0.5000 0.5000  4 Au 2.70, 4 Li 2.70
Li 0.7500 0.7500 0.7500  4 Li 2.70, 4 Ge 2.70
Li 0.0000 0.0000 0.0000  4 Li 2.70, 4 Au 2.70


# 2
## NdGa3Au (PBE)

Data for an optimized crystal structure of NdGa3Au.

Properties
DFT total energy (eV per cell): -40.3

a = 6.1030 Å, b = 6.1120 Å, c = 6.2662 Å
α = 90.00°, β = 119.13°, γ = 90.00°
With the nearest neighbours (Å) after each atom.
Sites, in units of the cell vectors:
Ga 0.7394 0.5003 0.5005  2 Au 2.62, 3 Ga 2.62-2.92
Ga 0.2606 0.4998 0.4995  2 Au 2.62, 3 Ga 2.62-2.92
Ga 0.7394 0.9997 0.5005  2 Au 2.62, 3 Ga 2.62-2.92
Ga 0.6421 0.2500 0.7845  1 Au 2.50, 4 Ga 2.62-2.63
Ga 0.3579 0.7500 0.2155  1 Au 2.50, 4 Ga 2.62-2.63
Ga 0.2606 0.0002 0.4995  2 Au 2.62, 3 Ga 2.62-2.92
Au 0.1299 0.7500 0.7583  5 Ga 2.50-2.62
Au 0.8701 0.2500 0.2417  5 Ga 2.50-2.62
Nd 0.2479 0.2500 0.9963  12 Ga 3.26-3.50, 4 Au 3.32-3.34
Nd 0.7521 0.7500 0.0037  12 Ga 3.26-3.50, 4 Au 3.32-3.34


# 3
## ZrIn2Bi (PBE)

Data for an optimized crystal structure of ZrIn2Bi.

Properties
DFT total energy (eV per cell): -17.4

a = 5.2796 Å, b = 5.2796 Å, c = 5.2796 Å
α = 60.00°, β = 60.00°, γ = 60.00°
With the nearest neighbours (Å) after each atom.
Sites, in units of the cell vectors:
Bi 0.7500 0.7500 0.7500  4 In 3.23, 4 Zr 3.23
In 0.2500 0.2500 0.2500  4 Zr 3.23, 4 In 3.23
In 0.0000 0.0000 0.0000  4 Bi 3.23, 4 In 3.23
Zr 0.5000 0.5000 0.5000  4 In 3.23, 4 Bi 3.23


# 4
## Y4Ta2Al3N3 (PBE)

Data for an optimized crystal structure of Y4Ta2Al3N3.

Properties
DFT total energy (eV per cell): -193.3

a = 5.8681 Å, b = 5.8681 Å, c = 14.4684 Å
α = 101.61°, β = 90.20°, γ = 119.68°
With the nearest neighbours (Å) after each atom.
Sites, in units of the cell vectors:
Y 0.0404 0.9064 0.0985  3 N 2.42-2.44
Y 0.9596 0.0936 0.9015  3 N 2.42-2.44
Y 0.3012 0.7765 0.9015  3 N 2.42-2.44
Y 0.6988 0.2235 0.0985  3 N 2.42-2.44
Y 0.1250 0.1002 0.4015  3 N 2.42-2.43
Y 0.8750 0.8998 0.5985  3 N 2.42-2.43
Y 0.8079 0.4419 0.4015  3 N 2.42-2.44
Y 0.1921 0.5581 0.5985  3 N 2.42-2.44
N 0.5000 0.5000 0.5000  2 Ta 2.18, 4 Y 2.42-2.43
N 0.3436 0.1875 0.0000  2 Ta 2.16-2.17
N 0.6564 0.8125 0.0000  2 Ta 2.16-2.17
N 0.8125 0.1563 0.4999  2 Ta 2.16-2.17
N 0.1875 0.8437 0.5001  2 Ta 2.16-2.17
N 0.0000 0.5000 0.0000  2 Ta 2.18, 4 Y 2.42-2.43
Ta 0.6486 0.4507 0.9256  3 N 2.16-2.18
Ta 0.3514 0.5493 0.0744  3 N 2.16-2.18
Ta 0.4748 0.7770 0.4256  3 N 2.16-2.18
Ta 0.5252 0.2230 0.5744  3 N 2.16-2.18
Al 0.8428 0.5928 0.7500  2 Al 2.65, 2 Ta 2.89
Al 0.3229 0.3353 0.7518  2 Al 2.65-2.66, 2 Ta 2.90-2.92
Al 0.5835 0.0712 0.7482  2 Al 2.65-2.66, 2 Ta 2.90-2.92
Al 0.4165 0.9288 0.2518  2 Al 2.65-2.66, 2 Ta 2.90-2.92
Al 0.6771 0.6647 0.2482  2 Al 2.65-2.66, 2 Ta 2.90-2.92
Al 0.1572 0.4072 0.2500  2 Al 2.65, 2 Ta 2.89


# 5
## TaCuSnIr (PBE)

Data for an optimized crystal structure of TaCuSnIr.

Properties
DFT total energy (eV per cell): -28.2

a = 4.5449 Å, b = 4.5449 Å, c = 4.5449 Å
α = 60.00°, β = 60.00°, γ = 60.00°
With the nearest neighbours (Å) after each atom.
Sites, in units of the cell vectors:
Ta 0.2500 0.2500 0.2500  4 Ir 2.78, 4 Sn 2.78
Sn 0.0000 0.0000 0.0000  4 Ta 2.78, 4 Cu 2.78
Ir 0.5000 0.5000 0.5000  4 Ta 2.78, 4 Cu 2.78
Cu 0.7500 0.7500 0.7500  4 Ir 2.78, 4 Sn 2.78


# 6
## BeGeMoW (PBE)

Data for an optimized crystal structure of BeGeMoW.

Properties
DFT total energy (eV per cell): -31.0

a = 4.3079 Å, b = 4.3079 Å, c = 4.3079 Å
α = 60.00°, β = 60.00°, γ = 60.00°
With the nearest neighbours (Å) after each atom.
Sites, in units of the cell vectors:
Be 0.7500 0.7500 0.7500  4 Ge 2.64, 4 W 2.64
Mo 0.2500 0.2500 0.2500  4 W 2.64, 4 Ge 2.64
Ge 0.0000 0.0000 0.0000  4 Mo 2.64, 4 Be 2.64
W 0.5000 0.5000 0.5000  4 Mo 2.64, 4 Be 2.64


# 7
## BaPr2Te3 (PBE)

Data for an optimized crystal structure of BaPr2Te3.

Properties
DFT total energy (eV per cell): -30.2

a = 4.6743 Å, b = 4.6743 Å, c = 11.4517 Å
α = 90.00°, β = 90.00°, γ = 120.00°
With the nearest neighbours (Å) after each atom.
Sites, in units of the cell vectors:
Te 0.3333 0.6667 0.1892  3 Pr 3.28, 3 Ba 3.46
Te 0.6667 0.3333 0.8108  3 Pr 3.28, 3 Ba 3.46
Te 0.0000 0.0000 0.5000  6 Pr 3.18
Pr 0.3333 0.6667 0.6473  6 Te 3.18-3.28
Pr 0.6667 0.3333 0.3527  6 Te 3.18-3.28
Ba 0.0000 0.0000 0.0000  6 Te 3.46


# 8
## BaNdHgCl2O2 (PBE)

Data for an optimized crystal structure of BaNdHgCl2O2.

Properties
DFT total energy (eV per cell): -34.8

a = 6.5998 Å, b = 6.5998 Å, c = 8.1936 Å
α = 120.45°, β = 120.45°, γ = 34.16°
With the nearest neighbours (Å) after each atom.
Sites, in units of the cell vectors:
O 0.2188 0.2188 0.1252  2 Nd 2.27, 1 Hg 2.35
O 0.8082 0.8082 0.9531  1 Nd 2.23, 1 Hg 2.31
Ba 0.1785 0.1785 0.7491  2 O 2.52
Cl 0.5567 0.5567 0.3591  2 Nd 3.18, 1 Cl 3.29, 2 Ba 3.34, 2 Hg 3.39
Cl 0.4098 0.4098 0.5915  2 Nd 3.15, 1 O 3.26, 1 Cl 3.29, 2 Hg 3.38, 2 Ba 3.50
Nd 0.8271 0.8271 0.2400  3 O 2.23-2.27
Hg 0.0009 0.0009 0.9820  2 O 2.31-2.35


# 9
## Y2ErTl3AgIr2 (PBE)

Data for an optimized crystal structure of Y2ErTl3AgIr2.

Properties
DFT total energy (eV per cell): -49.0

a = 3.7937 Å, b = 7.8357 Å, c = 7.8357 Å
α = 119.61°, β = 90.00°, γ = 90.00°
With the nearest neighbours (Å) after each atom.
Sites, in units of the cell vectors:
Ir 0.5000 0.6621 0.3341  3 Tl 2.88-2.91, 2 Er 3.00, 4 Y 3.05-3.06
Ir 0.5000 0.3341 0.6621  3 Tl 2.88-2.91, 2 Er 3.00, 4 Y 3.05-3.06
Er 0.0000 0.4132 0.4132  4 Ir 3.00, 2 Tl 3.13, 1 Ag 3.24
Y 0.0000 0.5887 0.0000  4 Ir 3.05-3.06, 4 Tl 3.12-3.41, 1 Ag 3.23
Y 0.0000 0.0000 0.5887  4 Ir 3.05-3.06, 4 Tl 3.12-3.41, 1 Ag 3.23
Tl 0.5000 0.9991 0.2715  2 Ag 2.85, 2 Ir 2.88-2.91, 2 Y 3.12
Tl 0.5000 0.2715 0.9991  2 Ag 2.85, 2 Ir 2.88-2.91, 2 Y 3.12
Tl 0.5000 0.7296 0.7296  2 Ag 2.86, 2 Ir 2.88, 2 Er 3.13
Ag 0.0000 0.0016 0.0016  6 Tl 2.85-2.86


# 10
## Gd2YSn2Pb5 (PBE)

Data for an optimized crystal structure of Gd2YSn2Pb5.

Properties
DFT total energy (eV per cell): -46.4

a = 13.6718 Å, b = 13.6718 Å, c = 4.6151 Å
α = 90.00°, β = 90.00°, γ = 161.01°
With the nearest neighbours (Å) after each atom.
Sites, in units of the cell vectors:
Pb 0.7909 0.2091 0.0000  2 Pb 3.15, 4 Gd 3.27
Pb 0.2091 0.7909 0.0000  2 Pb 3.15, 4 Gd 3.27
Pb 0.5000 0.5000 0.5000  4 Y 3.23, 4 Sn 3.43, 4 Pb 3.49
Pb 0.4029 0.5971 0.0000  4 Sn 3.23, 2 Gd 3.39, 2 Y 3.46, 2 Pb 3.49
Pb 0.5971 0.4029 0.0000  4 Sn 3.23, 2 Gd 3.39, 2 Y 3.46, 2 Pb 3.49
Sn 0.0960 0.9040 0.5000  6 Pb 3.23-3.43, 2 Gd 3.37, 2 Y 3.47
Sn 0.9040 0.0960 0.5000  6 Pb 3.23-3.43, 2 Gd 3.37, 2 Y 3.47
Gd 0.6890 0.3110 0.5000  8 Pb 3.27-3.59, 2 Sn 3.37
Gd 0.3110 0.6890 0.5000  8 Pb 3.27-3.59, 2 Sn 3.37
Y 0.0000 0.0000 0.0000  8 Pb 3.23-3.46, 4 Sn 3.47


# 11
## YZnB (PBE)

Data for an optimized crystal structure of YZnB.

Properties
DFT total energy (eV per cell): -12.2

a = 4.4133 Å, b = 4.4133 Å, c = 4.4133 Å
α = 60.00°, β = 60.00°, γ = 60.00°
With the nearest neighbours (Å) after each atom.
Sites, in units of the cell vectors:
B 0.2500 0.2500 0.2500  4 Y 2.70
Zn 0.7500 0.7500 0.7500  4 Y 2.70
Y 0.0000 0.0000 0.0000  4 B 2.70, 4 Zn 2.70


# 12
## CdInSb2 (PBE)

Data for an optimized crystal structure of CdInSb2.

Properties
DFT total energy (eV per cell): -11.3

a = 5.3182 Å, b = 5.3182 Å, c = 5.3182 Å
α = 60.00°, β = 60.00°, γ = 60.00°
With the nearest neighbours (Å) after each atom.
Sites, in units of the cell vectors:
In 0.7500 0.7500 0.7500  4 Cd 3.26, 4 Sb 3.26
Sb 0.0000 0.0000 0.0000  4 In 3.26, 4 Sb 3.26
Sb 0.2500 0.2500 0.2500  4 Sb 3.26, 4 Cd 3.26
Cd 0.5000 0.5000 0.5000  4 In 3.26, 4 Sb 3.26